# GdIn2Cl5, relaxed, DFT GGA-PBE
# * formation energy from raw total energies: -1567 meV/atom
data_GdIn2Cl5
_cell_length_a 8.276
_cell_length_b 8.654
_cell_length_c 12.972
_cell_angle_alpha 90.00
_cell_angle_beta 90.00
_cell_angle_gamma 90.00
_symmetry_space_group_name_H-M 'P 1'
_symmetry_Int_Tables_number 1
_symmetry_space_group_name_Hall 'P 1'
loop_
_atom_site_label
_atom_site_type_symbol
_atom_site_fract_x
_atom_site_fract_y
_atom_site_fract_z
_atom_site_occupancy
Cl1 Cl 0.099 0.750 0.683 1
Cl2 Cl 0.901 0.250 0.317 1
Cl3 Cl 0.599 0.250 0.817 1
Cl4 Cl 0.401 0.750 0.183 1
Cl5 Cl 0.838 0.045 0.569 1
Cl6 Cl 0.162 0.955 0.431 1
Cl7 Cl 0.338 0.955 0.931 1
Cl8 Cl 0.162 0.545 0.431 1
Cl9 Cl 0.662 0.045 0.069 1
Cl10 Cl 0.838 0.455 0.569 1
Cl11 Cl 0.662 0.455 0.069 1
Cl12 Cl 0.338 0.545 0.931 1
Cl13 Cl 0.592 0.750 0.508 1
Cl14 Cl 0.408 0.250 0.492 1
Cl15 Cl 0.092 0.250 0.992 1
Cl16 Cl 0.908 0.750 0.008 1
Cl17 Cl 0.654 0.750 0.801 1
Cl18 Cl 0.346 0.250 0.199 1
Cl19 Cl 0.154 0.250 0.699 1
Cl20 Cl 0.846 0.750 0.301 1
Gd1 Gd 0.927 0.750 0.504 1
Gd2 Gd 0.073 0.250 0.496 1
Gd3 Gd 0.427 0.250 0.996 1
Gd4 Gd 0.573 0.750 0.004 1
In1 In 0.943 0.005 0.828 1
In2 In 0.057 0.995 0.172 1
In3 In 0.443 0.995 0.672 1
In4 In 0.057 0.505 0.172 1
In5 In 0.557 0.005 0.328 1
In6 In 0.943 0.495 0.828 1
In7 In 0.557 0.495 0.328 1
In8 In 0.443 0.505 0.672 1


# Np2Si4Ir3Au, relaxed, DFT GGA-PBE
# * density of states at the Fermi level: 21.7 states/eV/cell
# * formation energy from raw total energies: -566 meV/atom
data_Np2Si4Ir3Au
_cell_length_a 4.169
_cell_length_b 4.169
_cell_length_c 9.993
_cell_angle_alpha 90.00
_cell_angle_beta 90.00
_cell_angle_gamma 90.00
_symmetry_space_group_name_H-M 'P 1'
_symmetry_Int_Tables_number 1
_symmetry_space_group_name_Hall 'P 1'
loop_
_atom_site_label
_atom_site_type_symbol
_atom_site_fract_x
_atom_site_fract_y
_atom_site_fract_z
_atom_site_occupancy
Np1 Np 0.500 0.000 0.238 1
Np2 Np 0.000 0.500 0.762 1
Si1 Si 0.500 0.500 0.000 1
Si2 Si 0.000 0.000 0.000 1
Si3 Si 0.500 0.000 0.640 1
Si4 Si 0.000 0.500 0.360 1
Ir1 Ir 0.000 0.000 0.500 1
Ir2 Ir 0.500 0.000 0.876 1
Ir3 Ir 0.000 0.500 0.124 1
Au1 Au 0.500 0.500 0.500 1


# Tm4GeHS2, relaxed, DFT GGA-PBE
# * density of states at the Fermi level: 3.7 states/eV/cell
# * total DFT energy (no corrections): -43.9 eV/cell
data_Tm4GeHS2
_cell_length_a 5.471
_cell_length_b 5.471
_cell_length_c 6.723
_cell_angle_alpha 114.22
_cell_angle_beta 114.22
_cell_angle_gamma 89.53
_symmetry_space_group_name_H-M 'P 1'
_symmetry_Int_Tables_number 1
_symmetry_space_group_name_Hall 'P 1'
loop_
_atom_site_label
_atom_site_type_symbol
_atom_site_fract_x
_atom_site_fract_y
_atom_site_fract_z
_atom_site_occupancy
Tm1 Tm 0.973 0.433 0.000 1
Tm2 Tm 0.433 0.973 0.000 1
Tm3 Tm 0.190 0.190 0.498 1
Tm4 Tm 0.692 0.692 0.502 1
Ge1 Ge 0.933 0.933 0.000 1
H1 H 0.395 0.395 0.000 1
S1 S 0.191 0.691 0.500 1
S2 S 0.691 0.191 0.500 1


# AcTmCdAg, relaxed, DFT GGA-PBE
# * energy of formation: -0.234 eV per atom
# * density of states at the Fermi level: 2.1 states/eV/cell
data_AcTmCdAg
_cell_length_a 5.444
_cell_length_b 5.444
_cell_length_c 5.444
_cell_angle_alpha 60.00
_cell_angle_beta 60.00
_cell_angle_gamma 60.00
_symmetry_space_group_name_H-M 'P 1'
_symmetry_Int_Tables_number 1
_symmetry_space_group_name_Hall 'P 1'
loop_
_atom_site_label
_atom_site_type_symbol
_atom_site_fract_x
_atom_site_fract_y
_atom_site_fract_z
_atom_site_occupancy
Ac1 Ac 0.000 0.000 0.000 1
Tm1 Tm 0.500 0.500 0.500 1
Ag1 Ag 0.250 0.250 0.250 1
Cd1 Cd 0.750 0.750 0.750 1


# LaSb2, relaxed, DFT GGA-PBE
# * density of states at the Fermi level: 2.2 states/eV/cell
# * formation energy from raw total energies: -703 meV/atom
data_LaSb2
_cell_length_a 4.341
_cell_length_b 4.341
_cell_length_c 5.593
_cell_angle_alpha 108.29
_cell_angle_beta 108.29
_cell_angle_gamma 90.07
_symmetry_space_group_name_H-M 'P 1'
_symmetry_Int_Tables_number 1
_symmetry_space_group_name_Hall 'P 1'
loop_
_atom_site_label
_atom_site_type_symbol
_atom_site_fract_x
_atom_site_fract_y
_atom_site_fract_z
_atom_site_occupancy
Sb1 Sb 0.106 0.106 0.292 1
Sb2 Sb 0.894 0.894 0.708 1
La1 La 0.500 0.500 0.000 1